No. 1
# GGA-PBE SbPHC2, relaxed
# * DOS(E_F): 1.439 states/eV/cell
# * raw total energy: -24.73 eV per cell
data_SbPHC2
_cell_length_a 3.8829
_cell_length_b 3.8829
_cell_length_c 3.3177
_cell_angle_alpha 90.00
_cell_angle_beta 90.00
_cell_angle_gamma 90.00
_space_group_name_H-M_alt 'P 4/m m m'
_space_group_IT_number 123
_space_group_name_Hall '-P 4 2'
loop_
_atom_site_label
_atom_site_type_symbol
_atom_site_fract_x
_atom_site_fract_y
_atom_site_fract_z
Sb1 Sb 0.0000 0.0000 0.0000
P1 P 0.5000 0.5000 0.5000
H1 H 0.5000 0.5000 0.0000
C1 C 0.0000 0.5000 0.5000

***

No. 2
# GGA-PBE Sc2NbH, relaxed
# * ΔE to the lowest computed polymorph: 0.007 eV/atom
# * DOS(E_F): 5.311 states/eV/cell
# * raw total energy: -25.63 eV per cell
data_Sc2NbH
_cell_length_a 2.9595
_cell_length_b 2.9595
_cell_length_c 7.5317
_cell_angle_alpha 90.00
_cell_angle_beta 90.00
_cell_angle_gamma 90.00
_space_group_name_H-M_alt 'P 4/m m m'
_space_group_IT_number 123
_space_group_name_Hall '-P 4 2'
loop_
_atom_site_label
_atom_site_type_symbol
_atom_site_fract_x
_atom_site_fract_y
_atom_site_fract_z
Sc1 Sc 0.0000 0.0000 0.2048
Nb1 Nb 0.5000 0.5000 0.5000
H1 H 0.5000 0.5000 0.0000

***

No. 3
# GGA-PBE Tb2CeU3P6, relaxed
# * DOS(E_F): 36.643 states/eV/cell
# * ΔH_f (0 K): -15.2 eV/f.u.
# * raw total energy: -193.43 eV per cell
data_Tb2CeU3P6
_cell_length_a 6.8738
_cell_length_b 11.9079
_cell_length_c 6.9918
_cell_angle_alpha 90.00
_cell_angle_beta 109.13
_cell_angle_gamma 90.00
_space_group_name_H-M_alt 'C 1 2/m 1'
_space_group_IT_number 12
_space_group_name_Hall '-C 2y'
loop_
_atom_site_label
_atom_site_type_symbol
_atom_site_fract_x
_atom_site_fract_y
_atom_site_fract_z
Tb1 Tb 0.0000 0.1667 0.0000
Ce1 Ce 0.0000 0.5000 0.0000
U1 U 0.0000 0.0000 0.5000
U2 U 0.0000 0.3336 0.5000
P1 P 0.2463 0.1676 0.7415
P2 P 0.2493 0.5000 0.7424

***

No. 4
# GGA-PBE CePr2Pb, relaxed
# * ΔE to the lowest computed polymorph: 0.000 eV/atom
# * DOS(E_F): 8.553 states/eV/cell
# * ΔH_f (0 K): -1.2 eV/f.u.
# * raw total energy: -20.35 eV per cell
data_CePr2Pb
_cell_length_a 5.0557
_cell_length_b 5.0557
_cell_length_c 4.8197
_cell_angle_alpha 90.00
_cell_angle_beta 90.00
_cell_angle_gamma 90.00
_space_group_name_H-M_alt 'P 4/m m m'
_space_group_IT_number 123
_space_group_name_Hall '-P 4 2'
loop_
_atom_site_label
_atom_site_type_symbol
_atom_site_fract_x
_atom_site_fract_y
_atom_site_fract_z
Ce1 Ce 0.0000 0.0000 0.0000
Pr1 Pr 0.0000 0.5000 0.5000
Pb1 Pb 0.5000 0.5000 0.0000

***

No. 5
# GGA-PBE Dy2Ho5TmMg, relaxed
# * DOS(E_F): 50.130 states/eV/cell
# * ΔH_f (0 K): 1.0 eV/f.u.
# * raw total energy: -148.82 eV per cell
data_Dy2Ho5TmMg
_cell_length_a 5.3692
_cell_length_b 19.9350
_cell_length_c 10.3874
_cell_angle_alpha 90.00
_cell_angle_beta 90.00
_cell_angle_gamma 90.00
_space_group_name_H-M_alt 'C m c 21'
_space_group_IT_number 36
_space_group_name_Hall 'C 2c -2'
loop_
_atom_site_label
_atom_site_type_symbol
_atom_site_fract_x
_atom_site_fract_y
_atom_site_fract_z
Dy1 Dy 0.0000 0.1146 0.0000
Dy2 Dy 0.0000 0.1148 0.4255
Ho1 Ho 0.0000 0.0140 0.7127
Ho2 Ho 0.0000 0.2890 0.0129
Ho3 Ho 0.0000 0.2897 0.4123
Ho4 Ho 0.0000 0.3818 0.7127
Ho5 Ho 0.0000 0.4996 0.4620
Tm1 Tm 0.0000 0.2056 0.7127
Mg1 Mg 0.0000 0.4047 0.2111

***

No. 6
# GGA-PBE TbSm2HoTe6, relaxed
# * energy relative to the elements, uncorrected: -1369 meV/atom
# * raw total energy: -153.55 eV per cell
data_TbSm2HoTe6
_cell_length_a 7.7800
_cell_length_b 7.7800
_cell_length_c 21.2157
_cell_angle_alpha 90.00
_cell_angle_beta 90.00
_cell_angle_gamma 120.00
_space_group_name_H-M_alt 'R 3'
_space_group_IT_number 146
_space_group_name_Hall 'R 3'
loop_
_atom_site_label
_atom_site_type_symbol
_atom_site_fract_x
_atom_site_fract_y
_atom_site_fract_z
Tb1 Tb 0.0000 0.0000 0.0000
Sm1 Sm 0.0000 0.0000 0.1879
Sm2 Sm 0.0000 0.0000 0.6884
Ho1 Ho 0.0000 0.0000 0.5005
Te1 Te 0.0094 0.6940 0.5916
Te2 Te 0.0119 0.3186 0.0920

***

No. 7
# GGA-PBE Sm4Pb6O19, relaxed
# * DOS(E_F): 40.073 states/eV/cell
# * energy relative to the elements, uncorrected: -1553 meV/atom
# * raw total energy: -360.75 eV per cell
data_Sm4Pb6O19
_cell_length_a 9.6831
_cell_length_b 9.6831
_cell_length_c 9.6831
_cell_angle_alpha 90.00
_cell_angle_beta 90.00
_cell_angle_gamma 90.00
_space_group_name_H-M_alt 'I 2 3'
_space_group_IT_number 197
_space_group_name_Hall 'I 2 2 3'
loop_
_atom_site_label
_atom_site_type_symbol
_atom_site_fract_x
_atom_site_fract_y
_atom_site_fract_z
Sm1 Sm 0.1434 0.1434 0.1434
Pb1 Pb 0.0000 0.1706 0.5000
O1 O 0.0000 0.0000 0.0000
O2 O 0.0000 0.0000 0.3412
O3 O 0.0516 0.2817 0.3129

***

No. 8
# GGA-PBE Mn2GaBSe, relaxed
# * ΔE to the lowest computed polymorph: 0.011 eV/atom
# * DOS(E_F): 7.252 states/eV/cell
# * energy relative to the elements, uncorrected: -125 meV/atom
# * raw total energy: -96.46 eV per cell
data_Mn2GaBSe
_cell_length_a 3.1513
_cell_length_b 3.1513
_cell_length_c 24.1476
_cell_angle_alpha 90.00
_cell_angle_beta 90.00
_cell_angle_gamma 120.00
_space_group_name_H-M_alt 'R 3 m'
_space_group_IT_number 160
_space_group_name_Hall 'R 3 -2"'
loop_
_atom_site_label
_atom_site_type_symbol
_atom_site_fract_x
_atom_site_fract_y
_atom_site_fract_z
Mn1 Mn 0.0000 0.0000 0.0000
Mn2 Mn 0.0000 0.0000 0.2478
Ga1 Ga 0.0000 0.0000 0.8390
B1 B 0.0000 0.0000 0.6216
Se1 Se 0.0000 0.0000 0.7324

***

No. 9
# GGA-PBE Pr4Ga2H, relaxed
# * ΔE to the lowest computed polymorph: 0.000 eV/atom
# * DOS(E_F): 12.561 states/eV/cell
# * raw total energy: -62.43 eV per cell
data_Pr4Ga2H
_cell_length_a 4.7064
_cell_length_b 4.7064
_cell_length_c 16.6096
_cell_angle_alpha 90.00
_cell_angle_beta 90.00
_cell_angle_gamma 90.00
_space_group_name_H-M_alt 'I 4/m m m'
_space_group_IT_number 139
_space_group_name_Hall '-I 4 2'
loop_
_atom_site_label
_atom_site_type_symbol
_atom_site_fract_x
_atom_site_fract_y
_atom_site_fract_z
Pr1 Pr 0.0000 0.0000 0.1832
Pr2 Pr 0.0000 0.5000 0.0000
Ga1 Ga 0.0000 0.0000 0.3660
H1 H 0.0000 0.0000 0.0000

***

No. 10
# GGA-PBE NbVPd2, relaxed
# * ΔE to the lowest computed polymorph: 0.613 eV/atom
# * DOS(E_F): 14.473 states/eV/cell
# * ΔH_f (0 K): 1.5 eV/f.u.
# * raw total energy: -84.26 eV per cell
data_NbVPd2
_cell_length_a 3.8773
_cell_length_b 3.8773
_cell_length_c 16.8637
_cell_angle_alpha 90.00
_cell_angle_beta 90.00
_cell_angle_gamma 120.00
_space_group_name_H-M_alt 'R 3 m'
_space_group_IT_number 160
_space_group_name_Hall 'R 3 -2"'
loop_
_atom_site_label
_atom_site_type_symbol
_atom_site_fract_x
_atom_site_fract_y
_atom_site_fract_z
Nb1 Nb 0.0000 0.0000 0.0000
V1 V 0.0000 0.0000 0.1691
Pd1 Pd 0.0000 0.0000 0.4219
Pd2 Pd 0.0000 0.0000 0.5836

***

No. 11
# GGA-PBE YTaRuRh, relaxed
# * DOS(E_F): 9.368 states/eV/cell
# * ΔH_f (0 K): -1.5 eV/f.u.
# * raw total energy: -145.93 eV per cell
data_YTaRuRh
_cell_length_a 6.5775
_cell_length_b 6.5775
_cell_length_c 6.5775
_cell_angle_alpha 90.00
_cell_angle_beta 90.00
_cell_angle_gamma 90.00
_space_group_name_H-M_alt 'F -4 3 m'
_space_group_IT_number 216
_space_group_name_Hall 'F -4 2 3'
loop_
_atom_site_label
_atom_site_type_symbol
_atom_site_fract_x
_atom_site_fract_y
_atom_site_fract_z
Y1 Y 0.0000 0.0000 0.0000
Ta1 Ta 0.0000 0.0000 0.5000
Ru1 Ru 0.2500 0.2500 0.2500
Rh1 Rh 0.2500 0.2500 0.7500

***

No. 12
# GGA-PBE BaMoPt2, relaxed
# * ΔE to the lowest computed polymorph: 0.514 eV/atom
# * DOS(E_F): 3.434 states/eV/cell
# * ΔH_f (0 K): 1.0 eV/f.u.
# * raw total energy: -23.81 eV per cell
data_BaMoPt2
_cell_length_a 5.3034
_cell_length_b 5.3034
_cell_length_c 2.9732
_cell_angle_alpha 90.00
_cell_angle_beta 90.00
_cell_angle_gamma 90.00
_space_group_name_H-M_alt 'P 4/m m m'
_space_group_IT_number 123
_space_group_name_Hall '-P 4 2'
loop_
_atom_site_label
_atom_site_type_symbol
_atom_site_fract_x
_atom_site_fract_y
_atom_site_fract_z
Ba1 Ba 0.0000 0.0000 0.0000
Mo1 Mo 0.5000 0.5000 0.0000
Pt1 Pt 0.0000 0.5000 0.5000

***

What did the third record say?
# GGA-PBE Tb2CeU3P6, relaxed
# * DOS(E_F): 36.643 states/eV/cell
# * ΔH_f (0 K): -15.2 eV/f.u.
# * raw total energy: -193.43 eV per cell
data_Tb2CeU3P6
_cell_length_a 6.8738
_cell_length_b 11.9079
_cell_length_c 6.9918
_cell_angle_alpha 90.00
_cell_angle_beta 109.13
_cell_angle_gamma 90.00
_space_group_name_H-M_alt 'C 1 2/m 1'
_space_group_IT_number 12
_space_group_name_Hall '-C 2y'
loop_
_atom_site_label
_atom_site_type_symbol
_atom_site_fract_x
_atom_site_fract_y
_atom_site_fract_z
Tb1 Tb 0.0000 0.1667 0.0000
Ce1 Ce 0.0000 0.5000 0.0000
U1 U 0.0000 0.0000 0.5000
U2 U 0.0000 0.3336 0.5000
P1 P 0.2463 0.1676 0.7415
P2 P 0.2493 0.5000 0.7424

***

> Which formula does entry 1 have?

SbPHC2